# 1
Material: LiV6O7F5
Method: DFT, GGA+U
State: relaxed

abc: 4.9373 5.6475 7.7800
angles: 84.50 87.18 85.58
Last column: nearest neighbours and their distance in Å.
Element x y z (fractional)
Li (0.0000, 0.0000, 0.0000)  2 F 1.87
V (0.0060, 0.9848, 0.5151)  3 O 1.92-2.07, 3 F 2.10-2.14
V (0.0625, 0.3755, 0.1853)  4 O 1.92-2.02
V (0.4799, 0.5092, 0.5155)  3 O 1.89-1.99, 3 F 2.08-2.11
V (0.4993, 0.8230, 0.1809)  3 O 1.92-2.06, 3 F 2.07-2.10
V (0.5027, 0.1704, 0.8376)  3 O 1.93-2.01, 3 F 2.09-2.11
V (0.9458, 0.6158, 0.8235)  5 O 1.91-2.06
O (0.1640, 0.6778, 0.6004)  3 V 1.89-2.01
O (0.1691, 0.3310, 0.9355)  3 V 1.97-2.03, 1 Li 2.11
O (0.1736, 0.0358, 0.2669)  3 V 2.01-2.07
O (0.3474, 0.5334, 0.2765)  3 V 1.92-1.99
O (0.6573, 0.4584, 0.7386)  3 V 1.91-1.97
O (0.8256, 0.9667, 0.7558)  3 V 2.01-2.05, 1 Li 2.15
O (0.8376, 0.6581, 0.0790)  3 V 2.01-2.06, 1 Li 2.17
F (0.3182, 0.1802, 0.5986)  3 V 2.10-2.12
F (0.3374, 0.8505, 0.9387)  1 Li 1.87, 1 V 2.07
F (0.6685, 0.1409, 0.0821)  1 Li 1.87, 1 V 2.09
F (0.6769, 0.8162, 0.4218)  3 V 2.10-2.14
F (0.8249, 0.3182, 0.4242)  3 V 2.08-2.16

volume	11.32	Å³/atom
excess energy over the best structure of this formula in the dataset	0.031	eV/atom
VASP energy	-7.092	eV per atom

# 2
Material: LiV3O5F3
Method: DFT, GGA+U
State: relaxed

abc: 6.4772 3.8481 12.0050
angles: 90.00 101.19 90.00
Last column: nearest neighbours and their distance in Å.
Element x y z (fractional)
Li (0.0000, 0.0000, 0.0000)  2 O 2.01-2.05, 2 F 2.18
Li (0.3911, 0.5000, 0.2879)  2 F 2.06, 2 O 2.09
V (0.0475, 0.5000, 0.7117)  1 O 1.69, 1 F 1.85
V (0.2894, 0.0000, 0.5828)  1 F 1.78, 3 O 1.87-1.96
V (0.4487, 0.0000, 0.8592)  1 O 1.68
V (0.5246, 0.0000, 0.1025)  4 O 1.81-1.97, 1 F 1.91
V (0.8704, 0.5000, 0.2117)  4 O 1.78-1.98, 1 F 1.90
V (0.9405, 0.5000, 0.4550)  1 O 1.69
O (0.0277, 0.0000, 0.4845)  3 V 1.87-2.02
O (0.0904, 0.5000, 0.3267)  2 V 1.78-1.97
O (0.1558, 0.0000, 0.7268)  4 V 2.04-2.23
O (0.2338, 0.5000, 0.5921)  3 V 1.96-2.05
O (0.3039, 0.0000, 0.9845)  2 V 1.81-1.92, 1 Li 2.01
O (0.5737, 0.5000, 0.1291)  3 V 1.97-1.98
O (0.6777, 0.0000, 0.9535)  1 V 1.68
O (0.7131, 0.5000, 0.3580)  1 V 1.69
O (0.8120, 0.0000, 0.1854)  3 V 1.93-1.97
O (0.8356, 0.5000, 0.6051)  1 V 1.69
F (0.0128, 0.5000, 0.0871)  1 V 1.90
F (0.3758, 0.0000, 0.2255)  1 V 1.91, 2 Li 2.06
F (0.3915, 0.5000, 0.8330)  2 V 1.97
F (0.4686, 0.0000, 0.4875)  1 V 1.78
F (0.5441, 0.0000, 0.7123)  2 V 1.98-2.04
F (0.9642, 0.5000, 0.8511)  1 V 1.85

volume	12.23	Å³/atom
excess energy over the best structure of this formula in the dataset	0.040	eV/atom
VASP energy	-6.797	eV per atom

# 3
Material: Li2VOF3
Method: DFT, GGA+U
State: relaxed

abc: 6.0232 5.0538 5.4787
angles: 90.00 116.64 90.00
Last column: nearest neighbours and their distance in Å.
Element x y z (fractional)
Li (0.0000, 0.2322, 0.0000)  2 F 1.93-1.96, 2 O 2.05-2.08
Li (0.0000, 0.7678, 0.5000)  2 F 1.93-1.96, 2 O 2.05-2.08
Li (0.7253, 0.2328, 0.4392)  4 F 1.90-2.03
Li (0.7253, 0.7672, 0.9392)  4 F 1.90-2.03
V (0.3019, 0.2247, 0.5832)  2 O 1.89-1.94, 4 F 2.07-2.12
V (0.3019, 0.7753, 0.0832)  2 O 1.89-1.94, 4 F 2.07-2.12
O (0.1797, 0.0431, 0.8004)  2 V 1.89-1.94, 2 Li 2.05-2.08
O (0.1797, 0.9569, 0.3004)  2 V 1.89-1.94, 2 Li 2.05-2.08
F (0.4247, 0.4426, 0.3357)  1 Li 1.95, 2 V 2.09-2.12
F (0.4247, 0.5574, 0.8357)  1 Li 1.95, 2 V 2.09-2.12
F (0.6678, 0.1008, 0.7560)  3 Li 1.91-2.03, 1 V 2.07
F (0.6678, 0.8992, 0.2560)  3 Li 1.91-2.03, 1 V 2.07
F (0.9634, 0.4116, 0.3613)  2 Li 1.90-1.93, 1 V 2.07
F (0.9634, 0.5884, 0.8613)  2 Li 1.90-1.93, 1 V 2.07

volume	10.65	Å³/atom
excess energy over the best structure of this formula in the dataset	0.019	eV/atom
VASP energy	-5.793	eV per atom

# 4
Material: LiVO2F
Method: DFT, GGA+U
State: relaxed

abc: 3.6525 3.6525 3.3756
angles: 90.00 90.00 90.00
Last column: nearest neighbours and their distance in Å.
Element x y z (fractional)
Li (0.0000, 0.0000, 0.0000)  2 F 1.69, 4 O 1.83
V (0.5000, 0.5000, 0.5000)  8 O 2.49, 4 F 2.58
O (0.0000, 0.5000, 0.0000)  2 Li 1.83
O (0.5000, 0.0000, 0.0000)  2 Li 1.83
F (0.0000, 0.0000, 0.5000)  2 Li 1.69

volume	9.01	Å³/atom
VASP energy	-5.241	eV per atom

# 5
Material: LiV3O5F3
Method: DFT, GGA+U
State: relaxed

abc: 6.7628 3.7838 12.2467
angles: 90.00 104.31 90.00
Last column: nearest neighbours and their distance in Å.
Element x y z (fractional)
Li (0.0000, 0.0000, 0.0000)  1 F 1.93
Li (0.3311, 0.5000, 0.3876)  2 O 2.02-2.19, 2 F 2.19
V (0.0795, 0.5000, 0.7767)  1 O 1.64
V (0.2914, 0.0000, 0.6242)  1 O 1.71, 1 F 1.89
V (0.4380, 0.0000, 0.8705)  1 F 1.85, 4 O 1.92-2.00
V (0.4908, 0.0000, 0.1529)  2 O 1.75-1.93, 1 F 1.87
V (0.8524, 0.5000, 0.2194)  2 O 1.74-1.92, 1 F 1.88
V (0.8825, 0.5000, 0.4939)  1 O 1.64
O (0.1529, 0.0000, 0.7566)  4 V 1.99-2.08
O (0.1959, 0.5000, 0.6083)  2 V 1.99
O (0.3445, 0.0000, 0.0133)  1 V 1.75
O (0.3873, 0.5000, 0.8586)  3 V 1.92-2.08
O (0.5175, 0.0000, 0.7248)  1 V 1.71
O (0.5590, 0.5000, 0.1828)  3 V 1.92-1.96
O (0.6396, 0.5000, 0.4295)  1 V 1.64
O (0.7855, 0.0000, 0.1904)  3 V 1.93-1.96
O (0.9816, 0.5000, 0.8869)  1 V 1.64
O (0.9979, 0.5000, 0.3582)  1 V 1.74
F (0.0074, 0.5000, 0.1117)  1 V 1.88
F (0.3327, 0.0000, 0.2582)  1 V 1.87
F (0.3428, 0.0000, 0.4798)  1 V 1.89
F (0.7055, 0.0000, 0.9548)  1 V 1.85, 1 Li 1.93
F (0.8340, 0.5000, 0.6498)  2 V 1.97-2.01
F (0.9522, 0.0000, 0.5172)  2 V 1.95

volume	12.65	Å³/atom
excess energy over the best structure of this formula in the dataset	0.043	eV/atom
VASP energy	-6.794	eV per atom

# 6
Material: Li5VO4F
Method: DFT, GGA+U
State: relaxed

abc: 5.2423 8.9287 5.3988
angles: 90.00 113.51 90.00
Last column: nearest neighbours and their distance in Å.
Element x y z (fractional)
Li (0.1585, 0.0000, 0.0182)  1 F 1.88, 3 O 1.96-2.08
Li (0.1790, 0.2798, 0.9044)  4 O 2.01-2.25, 1 F 2.08
Li (0.2333, 0.1822, 0.3946)  1 F 1.87, 3 O 1.97-2.07
Li (0.2992, 0.8109, 0.4934)  4 O 1.99-2.18
Li (0.3168, 0.6983, 0.0515)  1 F 1.87, 3 O 1.96-2.02
Li (0.6832, 0.1983, 0.9485)  1 F 1.87, 3 O 1.96-2.02
Li (0.7008, 0.3109, 0.5066)  4 O 1.99-2.18
Li (0.7667, 0.6822, 0.6054)  1 F 1.87, 3 O 1.97-2.07
Li (0.8210, 0.7798, 0.0956)  4 O 2.01-2.25, 1 F 2.08
Li (0.8415, 0.5000, 0.9818)  1 F 1.88, 3 O 1.96-2.08
V (0.2462, 0.5122, 0.5838)  4 O 1.82-1.88
V (0.7538, 0.0122, 0.4162)  4 O 1.82-1.88
O (0.0492, 0.9824, 0.3242)  1 V 1.82, 3 Li 1.96-1.99
O (0.1161, 0.6263, 0.2791)  1 V 1.82, 4 Li 2.01-2.02
O (0.4236, 0.3318, 0.6772)  1 V 1.83, 3 Li 1.96-2.02
O (0.4891, 0.1475, 0.1909)  1 V 1.88, 3 Li 2.00-2.08
O (0.5109, 0.6475, 0.8091)  1 V 1.88, 3 Li 2.00-2.08
O (0.5764, 0.8318, 0.3228)  1 V 1.83, 3 Li 1.96-2.02
O (0.8839, 0.1263, 0.7209)  1 V 1.82, 4 Li 2.01-2.02
O (0.9508, 0.4824, 0.6758)  1 V 1.82, 3 Li 1.96-1.99
F (0.0192, 0.8195, 0.8358)  4 Li 1.87-2.08
F (0.9808, 0.3195, 0.1642)  4 Li 1.87-2.08

volume	10.53	Å³/atom
VASP energy	-5.675	eV per atom